! Rb3Pu2MnO9 (PBE with a Hubbard U, relaxed); values from VASP
! - Magnetic moment: 8.00 μB/f.u.
! - DFT total energy: -116.25 eV per cell
&SYSTEM
  ibrav = 0, nat = 15, ntyp = 4
/
ATOMIC_SPECIES
Rb 85.47 Rb.upf
Pu 244.00 Pu.upf
Mn 54.94 Mn.upf
O 16.00 O.upf
CELL_PARAMETERS angstrom
6.013 0.000 0.000
-3.006 5.207 0.000
0.000 0.000 7.386
ATOMIC_POSITIONS crystal
Rb 0.333 0.667 0.659
Rb 0.000 0.000 0.000
Rb 0.667 0.333 0.341
Pu 0.333 0.667 0.171
Pu 0.667 0.333 0.829
Mn 0.000 0.000 0.500
O 0.825 0.175 0.676
O 0.825 0.651 0.676
O 0.349 0.175 0.676
O 0.651 0.825 0.324
O 0.175 0.349 0.324
O 0.175 0.825 0.324
O 0.500 0.000 0.000
O 0.000 0.500 0.000
O 0.500 0.500 0.000

---

! Rb2PuMnO6 (PBE with a Hubbard U, relaxed); values from VASP
! - Magnetic moment: 0.98 μB/f.u.
! - DFT total energy: -141.49 eV per cell
&SYSTEM
  ibrav = 0, nat = 20, ntyp = 4
/
ATOMIC_SPECIES
Rb 85.47 Rb.upf
Pu 244.00 Pu.upf
Mn 54.94 Mn.upf
O 16.00 O.upf
CELL_PARAMETERS angstrom
5.983 0.000 0.000
0.000 5.983 0.000
0.000 0.000 8.130
ATOMIC_POSITIONS crystal
Rb 0.500 0.750 0.250
Rb 0.000 0.250 0.750
Rb 0.500 0.750 0.750
Rb 0.000 0.250 0.250
Pu 0.500 0.250 0.500
Pu 0.000 0.750 0.000
Mn 0.000 0.750 0.500
Mn 0.500 0.250 0.000
O 0.500 0.250 0.228
O 0.500 0.250 0.772
O 0.000 0.750 0.272
O 0.000 0.750 0.728
O 0.267 0.017 0.500
O 0.733 0.017 0.500
O 0.267 0.483 0.500
O 0.733 0.483 0.500
O 0.767 0.517 0.000
O 0.233 0.517 0.000
O 0.233 0.983 0.000
O 0.767 0.983 0.000

---

! Rb2Pu3MnO12 (PBE with a Hubbard U, relaxed); values from VASP
! - Magnetic moment: 9.00 μB/f.u.
! - DFT total energy: -153.05 eV per cell
&SYSTEM
  ibrav = 0, nat = 18, ntyp = 4
/
ATOMIC_SPECIES
Rb 85.47 Rb.upf
Pu 244.00 Pu.upf
Mn 54.94 Mn.upf
O 16.00 O.upf
CELL_PARAMETERS angstrom
-5.508 -4.378 -2.599
1.892 -7.005 -1.901
-2.371 -5.470 4.551
ATOMIC_POSITIONS crystal
Rb 0.625 0.625 0.625
Rb 0.375 0.375 0.375
Pu 0.500 0.000 0.000
Pu 0.000 0.500 0.000
Pu 0.000 0.000 0.500
Mn 0.000 0.000 0.000
O 0.319 0.319 0.932
O 0.934 0.934 0.325
O 0.325 0.934 0.934
O 0.932 0.319 0.319
O 0.934 0.325 0.934
O 0.319 0.932 0.319
O 0.681 0.681 0.068
O 0.066 0.066 0.675
O 0.675 0.066 0.066
O 0.068 0.681 0.681
O 0.066 0.675 0.066
O 0.681 0.068 0.681

---

! Rb2PuMnO4 (PBE with a Hubbard U, relaxed); values from VASP
! - Magnetic moment: 1.00 μB/f.u.
! - DFT total energy: -59.58 eV per cell
&SYSTEM
  ibrav = 0, nat = 8, ntyp = 4
/
ATOMIC_SPECIES
Rb 85.47 Rb.upf
Pu 244.00 Pu.upf
Mn 54.94 Mn.upf
O 16.00 O.upf
CELL_PARAMETERS angstrom
-1.767 1.561 2.620
-1.249 -5.223 2.269
5.887 2.008 2.774
ATOMIC_POSITIONS crystal
Rb 0.500 0.000 0.500
Rb 0.000 0.500 0.500
Pu 0.500 0.500 0.000
Mn 0.000 0.000 0.000
O 0.500 0.240 0.174
O 0.500 0.760 0.826
O 0.000 0.280 0.821
O 0.000 0.720 0.179

---

! Rb3PuMn2O8 (PBE with a Hubbard U, relaxed); values from VASP
! - Magnetic moment: 9.00 μB/f.u.
! - DFT total energy: -88.63 eV per cell
&SYSTEM
  ibrav = 0, nat = 14, ntyp = 4
/
ATOMIC_SPECIES
Rb 85.47 Rb.upf
Pu 244.00 Pu.upf
Mn 54.94 Mn.upf
O 16.00 O.upf
CELL_PARAMETERS angstrom
-0.825 4.993 1.346
1.341 -3.508 3.650
10.065 2.113 -1.667
ATOMIC_POSITIONS crystal
Rb 0.333 0.667 0.842
Rb 0.667 0.333 0.158
Rb 0.000 0.000 0.000
Pu 0.000 0.000 0.500
Mn 0.333 0.667 0.304
Mn 0.667 0.333 0.696
O 0.333 0.667 0.132
O 0.667 0.333 0.868
O 0.502 0.498 0.371
O 0.498 0.502 0.629
O 0.502 0.005 0.371
O 0.498 0.995 0.629
O 0.995 0.498 0.371
O 0.005 0.502 0.629

---

! PuMnRuO6 (PBE with a Hubbard U, relaxed); values from VASP
! - Magnetic moment: 4.98 μB/f.u.
! - DFT total energy: -154.43 eV per cell
&SYSTEM
  ibrav = 0, nat = 18, ntyp = 4
/
ATOMIC_SPECIES
Pu 244.00 Pu.upf
Mn 54.94 Mn.upf
Ru 101.07 Ru.upf
O 16.00 O.upf
CELL_PARAMETERS angstrom
5.207 0.000 0.000
-2.604 4.510 0.000
0.000 0.000 9.414
ATOMIC_POSITIONS crystal
Pu 0.667 0.333 0.250
Pu 0.333 0.667 0.750
Mn 0.000 0.000 0.000
Mn 0.000 0.000 0.500
Ru 0.333 0.667 0.250
Ru 0.667 0.333 0.750
O 0.654 0.665 0.131
O 0.011 0.346 0.131
O 0.346 0.011 0.631
O 0.989 0.654 0.869
O 0.335 0.346 0.369
O 0.011 0.665 0.369
O 0.665 0.011 0.869
O 0.654 0.989 0.369
O 0.989 0.335 0.631
O 0.335 0.989 0.131
O 0.665 0.654 0.631
O 0.346 0.335 0.869

---

! PuScMn2O6 (PBE with a Hubbard U, relaxed); values from VASP
! - Magnetic moment: 11.00 μB/f.u.
! - DFT total energy: -88.77 eV per cell
&SYSTEM
  ibrav = 0, nat = 10, ntyp = 4
/
ATOMIC_SPECIES
Pu 244.00 Pu.upf
Sc 44.96 Sc.upf
Mn 54.94 Mn.upf
O 16.00 O.upf
CELL_PARAMETERS angstrom
-5.052 1.505 -1.145
-3.289 -3.368 -2.639
-4.288 -2.467 2.950
ATOMIC_POSITIONS crystal
Pu 0.309 0.309 0.073
Sc 0.816 0.818 0.549
Mn 0.510 0.508 0.474
Mn 0.027 0.028 0.919
O 0.625 0.236 0.262
O 0.236 0.876 0.263
O 0.876 0.623 0.264
O 0.423 0.715 0.737
O 0.714 0.124 0.738
O 0.126 0.423 0.737

---

! PuMnSeO2 (PBE with a Hubbard U, relaxed); values from VASP
! - Magnetic moment: 9.00 μB/f.u.
! - DFT total energy: -89.44 eV per cell
&SYSTEM
  ibrav = 0, nat = 10, ntyp = 4
/
ATOMIC_SPECIES
Pu 244.00 Pu.upf
Mn 54.94 Mn.upf
Se 78.96 Se.upf
O 16.00 O.upf
CELL_PARAMETERS angstrom
-2.680 4.556 0.180
-2.947 -1.893 4.039
5.386 3.095 1.842
ATOMIC_POSITIONS crystal
Pu 0.250 0.601 0.202
Pu 0.750 0.399 0.798
Mn 0.250 0.913 0.826
Mn 0.750 0.087 0.174
Se 0.750 0.753 0.507
Se 0.250 0.247 0.493
O 0.500 0.254 0.000
O 0.000 0.746 0.000
O 0.500 0.746 0.000
O 0.000 0.254 0.000